This record from Alexandria via LeMat-Bulk describes a relaxed InBI2N crystal. The functional is PBE.

Output
Calculated total energy in eV/atom: -2.726
Density of states at the Fermi level in states/eV per cell: 3.10
Distance to the lowest polymorph of the same formula in meV/atom: 1425

```
data_InBI2N
_cell_length_a 6.008
_cell_length_b 6.008
_cell_length_c 4.170
_cell_angle_alpha 90.00
_cell_angle_beta 90.00
_cell_angle_gamma 90.00
_space_group_name_H-M_alt 'P 1'
_space_group_IT_number 1
_space_group_name_Hall 'P 1'
loop_
_atom_site_label
_atom_site_type_symbol
_atom_site_fract_x
_atom_site_fract_y
_atom_site_fract_z
_atom_site_occupancy
I1 I 0.000 0.500 0.000 1
N1 N 0.000 0.000 0.500 1
I2 I 0.500 0.000 0.000 1
In1 In 0.000 0.000 0.000 1
B1 B 0.500 0.500 0.500 1
```